# GGA+U V4O7F5, optimized geometry
# Final energy   -107.8 eV per cell
# Volume   210 Å³/cell
data_V4O7F5
_chemical_formula_sum 'V4 O7 F5'
_symmetry_space_group_name_H-M 'P 1'
_symmetry_Int_Tables_number 1
_cell_length_a 5.241
_cell_length_b 5.326
_cell_length_c 9.086
_cell_angle_alpha 106.34
_cell_angle_beta 90.44
_cell_angle_gamma 119.07
loop_
_symmetry_equiv_pos_as_xyz
'x,y,z'
loop_
_atom_site_label
_atom_site_fract_x
_atom_site_fract_y
_atom_site_fract_z
V1 0.000 0.000 0.000
V2 0.216 0.504 0.785
V3 0.505 0.003 0.507
V4 0.771 0.566 0.265
O1 0.186 0.803 0.378
O2 0.198 0.818 0.933
O3 0.205 0.312 0.911
O4 0.684 0.816 0.439
O5 0.691 0.793 0.870
O6 0.838 0.782 0.149
O7 0.869 0.313 0.690
F1 0.344 0.824 0.660
F2 0.352 0.293 0.193
F3 0.362 0.316 0.625
F4 0.708 0.312 0.413
F5 0.849 0.268 0.125